(1)
This record from the Alexandria database describes an optimized crystal structure of Fe2HgMo. The functional is PBE.

```
4
Lattice="4.578 0.082 0.000 0.848 4.499 0.000 -2.713 -2.290 2.891" Properties=species:S:1:pos:R:3 pbc="T T T"
Fe 0.000 0.000 0.000
Fe 2.713 2.290 0.000
Hg 0.424 2.250 1.445
Mo 2.289 0.041 1.445
```

## Properties
Its density of states at the Fermi level is 0.829 states/eV/atom. For the energy of formation, the calculation gives 468 meV/atom.


(2)
This record from the Alexandria database describes an optimized crystal structure of Dy2InHg2. The functional is PBE.

```
10
Lattice="3.973 0.000 0.000 0.000 8.062 0.000 0.000 0.000 8.062" Properties=species:S:1:pos:R:3 pbc="T T T"
Dy 1.986 1.378 5.409
Dy 1.986 5.409 6.683
Dy 1.986 6.683 2.652
Dy 1.986 2.652 1.378
In 0.000 0.000 0.000
In 0.000 4.031 4.031
Hg 0.000 2.987 7.017
Hg 0.000 7.017 5.075
Hg 0.000 5.075 1.044
Hg 0.000 1.044 2.987
```

## Properties
Its density of states at the Fermi level is 0.473 states/eV/atom. For the energy of formation, the calculation gives -441 meV/atom.


(3)
This record from the Alexandria database describes an optimized crystal structure of Mg7In3Ag2. The functional is PBE.

```
12
Lattice="3.247 0.000 0.000 0.000 5.003 0.000 0.000 -2.502 16.741" Properties=species:S:1:pos:R:3 pbc="T T T"
Mg 0.000 0.000 13.412
Mg 0.000 2.502 9.151
Mg 0.000 0.000 0.000
Mg 0.000 2.502 3.329
Mg 1.623 0.000 2.547
Mg 1.623 2.502 14.194
Mg 0.000 0.000 7.590
In 1.623 2.502 0.000
In 1.623 2.502 6.230
In 1.623 0.000 10.510
Ag 0.000 2.502 11.894
Ag 0.000 0.000 4.846
```

## Properties
Its density of states at the Fermi level is 0.401 states/eV/atom. For the energy of formation, the calculation gives 0 meV/atom.


(4)
This record from the Alexandria database describes an optimized crystal structure of ZrCrOs2. The functional is PBE.

```
4
Lattice="3.185 0.000 0.000 0.000 4.453 0.000 0.000 0.000 4.453" Properties=species:S:1:pos:R:3 pbc="T T T"
Cr 1.593 0.000 2.227
Os 0.000 0.000 0.000
Os 0.000 2.227 2.227
Zr 1.593 2.227 0.000
```

## Properties
Its density of states at the Fermi level is 1.315 states/eV/atom. For the energy of formation, the calculation gives -28 meV/atom.